Below is MnGaN2F after structural relaxation, with properties calculated at the GGA+U level.

```
MnGaN2F
1.0
-2.471 1.536 -2.583
-2.710 0.308 2.774
1.317 3.608 0.886
F N Mn Ga
1 2 1 1
direct
0.000 0.000 0.500
0.500 0.000 0.000
0.000 0.500 0.000
0.500 0.500 0.500
0.000 0.000 0.000
```

Results
- Crystal system: tetragonal
- Magnetization: 3.7 μB/cell
- Mass density: 4.78 g cm⁻³
- Total DFT energy (no corrections): -5.672 eV per atom